Here is a relaxed Ho2RuS crystal from the Alexandria database. Energies are from PBE.

As for the volume: 21.46 Å³ per atom. The density of states at the Fermi level comes out at 2.4 states/eV per cell. Its formation energy from raw total energies is -1000 meV/atom. The symmetry is R-3m, No. 166. As for the calculated total energy: -26.6 eV/cell. For the calculated density, the calculation gives 8.96 g/cm³. Its total moment is 0.0 μB/f.u.

Lattice parameters (Å, degrees): 3.6509 3.6509 7.7280 76.34 76.34 60.00
Closest atoms and distances in Å follow each position.
Atoms (fractional coordinates):
Ru 0.5000 0.5000 0.5000  6 Ho 2.83
Ho 0.2510 0.2510 0.2469  3 S 2.80, 3 Ru 2.83
Ho 0.7490 0.7490 0.7531  3 S 2.80, 3 Ru 2.83
S 0.0000 0.0000 0.0000  6 Ho 2.80


Here is a relaxed YVP2Ru crystal from the Alexandria database. Energies are from PBE.

As for the volume: 19.92 Å³ per atom. The density of states at the Fermi level comes out at 5.1 states/eV per cell. The symmetry is P4/mmm, No. 123. As for the calculated total energy: -34.9 eV/cell. The formation energy is 0.8 eV/f.u. For the calculated density, the calculation gives 5.05 g/cm³. Its total moment is 2.8 μB/f.u.

Lattice parameters (Å, degrees): 4.6832 4.5421 4.6832 90.00 90.00 90.00
Closest atoms and distances in Å follow each position.
Atoms (fractional coordinates):
Ru 0.0000 0.0000 0.0000  2 V 2.27, 4 P 2.34
P 0.5000 0.0000 0.0000  2 Ru 2.34
P 0.0000 0.0000 0.5000  2 Ru 2.34
V 0.0000 0.5000 0.0000  2 Ru 2.27
Y 0.5000 0.5000 0.5000  8 P 3.26, 4 V 3.31


Here is a relaxed Na3Sm3TaO8 crystal from the Alexandria database. Energies are from PBE.

As for the volume: 15.44 Å³ per atom. The density of states at the Fermi level comes out at 1.7 states/eV per cell. Its formation energy from raw total energies is -2663 meV/atom. The symmetry is R-3m, No. 166. As for the calculated total energy: -109.6 eV/cell. For the calculated density, the calculation gives 5.94 g/cm³. Its total moment is 0.0 μB/f.u.

Lattice parameters (Å, degrees): 6.8541 6.8539 6.9327 119.63 90.00 120.00
Closest atoms and distances in Å follow each position.
Atoms (fractional coordinates):
Sm 0.0000 0.5000 0.5000  6 O 2.38-2.40
Sm 0.5000 0.5000 0.5000  6 O 2.38-2.40
Sm 0.5000 0.0000 0.5000  6 O 2.38-2.40
O 0.7910 0.5820 0.3041  1 Ta 2.04
O 0.7779 0.9869 0.6959  1 Ta 2.04
O 0.7910 0.0131 0.3041  1 Ta 2.04
O 0.2090 0.4180 0.6959  1 Ta 2.04
O 0.2090 0.9869 0.6959  1 Ta 2.04
O 0.7442 0.4883 0.7324  3 Sm 2.38, 3 Na 2.50
O 0.2558 0.5117 0.2676  3 Sm 2.38, 3 Na 2.50
O 0.2221 0.0131 0.3041  1 Ta 2.04
Na 0.0000 0.5000 0.0000  6 O 2.50-2.54
Na 0.5000 0.5000 0.0000  6 O 2.50-2.54
Na 0.0000 0.0000 0.0000  6 O 2.50-2.54
Ta 0.0000 0.0000 0.5000  6 O 2.04


Here is a relaxed La4Y3Se8 crystal from the Alexandria database. Energies are from PBE.

As for the volume: 30.39 Å³ per atom. The density of states at the Fermi level comes out at 8.8 states/eV per cell. Its formation energy from raw total energies is -1715 meV/atom. The symmetry is R-3m, No. 166. As for the calculated total energy: -92.7 eV/cell. For the calculated density, the calculation gives 5.30 g/cm³. Its total moment is 0.0 μB/f.u.

Lattice parameters (Å, degrees): 8.2045 8.2045 9.1423 63.34 63.34 60.00
Closest atoms and distances in Å follow each position.
Atoms (fractional coordinates):
Se 0.2342 0.7500 0.2657  3 La 2.94-3.09, 2 Y 2.97
Se 0.7500 0.7500 0.2657  3 La 2.94-3.09, 2 Y 2.97
Se 0.2500 0.7658 0.7343  3 La 2.94-3.09, 2 Y 2.97
Se 0.7658 0.2500 0.7343  3 La 2.94-3.09, 2 Y 2.97
Se 0.7500 0.2342 0.2657  3 La 2.94-3.09, 2 Y 2.97
Se 0.2299 0.2299 0.3104  3 Y 2.79, 1 La 2.86
Se 0.2500 0.2500 0.7343  3 La 2.94-3.09, 2 Y 2.97
Se 0.7701 0.7701 0.6896  3 Y 2.79, 1 La 2.86
Y 0.0000 0.0000 0.5000  6 Se 2.79-2.97
Y 0.0000 0.5000 0.5000  6 Se 2.79-2.97
Y 0.5000 0.0000 0.5000  6 Se 2.79-2.97
La 0.6481 0.6481 0.0558  4 Se 2.86-2.94
La 0.5000 0.5000 0.5000  6 Se 3.05
La 0.3519 0.3519 0.9442  4 Se 2.86-2.94
La 0.0000 0.0000 0.0000  6 Se 3.09


Here is a relaxed CoCSe2N crystal from the Alexandria database. Energies are from PBE.

As for the volume: 15.33 Å³ per atom. The density of states at the Fermi level comes out at 3.6 states/eV per cell. Its formation energy from raw total energies is 1563 meV/atom. The symmetry is P4/mmm, No. 123. As for the calculated total energy: -23.8 eV/cell. For the calculated density, the calculation gives 5.26 g/cm³. Its total moment is 0.0 μB/f.u.

Lattice parameters (Å, degrees): 4.7937 4.7937 3.3351 90.00 90.00 90.00
Closest atoms and distances in Å follow each position.
Atoms (fractional coordinates):
C 0.5000 0.5000 0.5000  8 Se 2.92
Se 0.0000 0.5000 0.0000  2 Co 2.40
Se 0.5000 0.0000 0.0000  2 Co 2.40
N 0.0000 0.0000 0.5000  2 Co 1.67
Co 0.0000 0.0000 0.0000  2 N 1.67


Here is a relaxed Tl2ZnRh crystal from the Alexandria database. Energies are from PBE.

As for the volume: 21.53 Å³ per atom. The density of states at the Fermi level comes out at 2.0 states/eV per cell. The symmetry is Pmm2, No. 25. As for the calculated total energy: -13.3 eV/cell. The formation energy is 0.1 eV/f.u. For the calculated density, the calculation gives 11.13 g/cm³. Its total moment is 0.0 μB/f.u.

Lattice parameters (Å, degrees): 3.2361 3.1775 8.3735 90.00 90.00 90.00
Closest atoms and distances in Å follow each position.
Atoms (fractional coordinates):
Tl 0.5000 0.5000 0.2864  4 Tl 3.18-3.24, 4 Zn 3.23, 1 Rh 3.55
Tl 0.0000 0.0000 0.9413  4 Rh 2.98, 4 Tl 3.18-3.24, 1 Zn 3.18
Zn 0.0000 0.0000 0.5615  4 Rh 2.59
Rh 0.5000 0.5000 0.7108  4 Zn 2.59